Record 1
Computed, not measured: an optimized crystal structure of LaSi2Ag at the PBE level of DFT.

Unit cell a=4.335 b=4.335 c=9.081 alpha=90.00 beta=90.00 gamma=90.00
Sites, in units of the cell vectors:
1 La 0.000 0.000 0.000
2 La 0.500 0.500 0.500
3 Si 0.000 0.000 0.500
4 Si 0.000 0.500 0.750
5 Si 0.500 0.000 0.250
6 Si 0.500 0.500 0.000
7 Ag 0.000 0.500 0.250
8 Ag 0.500 0.000 0.750

Magnetization   0.0 μB per formula unit
Formation energy (no corrections)   -52.7 meV per atom
DFT total energy   -4.709 eV/atom
Volume   170.6 Å³ per cell



Record 2
Computed, not measured: an optimized crystal structure of La3SiAg at the PBE level of DFT.

Unit cell a=9.363 b=8.581 c=7.216 alpha=90.00 beta=98.68 gamma=90.00
Sites, in units of the cell vectors:
1 La 0.116 0.001 0.179
2 La 0.116 0.499 0.679
3 La 0.274 0.147 0.672
4 La 0.274 0.353 0.172
5 La 0.383 0.692 0.468
6 La 0.383 0.808 0.968
7 La 0.617 0.192 0.032
8 La 0.617 0.308 0.532
9 La 0.726 0.647 0.828
10 La 0.726 0.853 0.328
11 La 0.884 0.501 0.321
12 La 0.884 0.999 0.821
13 Si 0.441 0.037 0.333
14 Si 0.441 0.463 0.833
15 Si 0.559 0.537 0.167
16 Si 0.559 0.963 0.667
17 Ag 0.060 0.666 0.055
18 Ag 0.060 0.834 0.555
19 Ag 0.940 0.166 0.445
20 Ag 0.940 0.334 0.945

Magnetization   0.0 μB per formula unit
Formation energy (no corrections)   -368.4 meV per atom
DFT total energy   -4.980 eV/atom
Energy above the lowest structure with this stoichiometry   0 meV/atom
Volume   573.1 Å³ per cell



Record 3
Computed, not measured: an optimized crystal structure of LaSiAg at the PBE level of DFT.

Unit cell a=12.924 b=3.988 c=5.597 alpha=90.00 beta=99.33 gamma=90.00
Sites, in units of the cell vectors:
1 La 0.117 0.000 0.324
2 La 0.383 0.500 0.676
3 La 0.617 0.500 0.324
4 La 0.883 0.000 0.676
5 Si 0.225 0.000 0.864
6 Si 0.275 0.500 0.136
7 Si 0.725 0.500 0.864
8 Si 0.775 0.000 0.136
9 Ag 0.080 0.500 0.821
10 Ag 0.420 0.000 0.179
11 Ag 0.580 0.000 0.821
12 Ag 0.920 0.500 0.179

Magnetization   0.0 μB per formula unit
Formation energy (no corrections)   -400.9 meV per atom
DFT total energy   -4.801 eV/atom
Volume   284.6 Å³ per cell



Record 4
Computed, not measured: an optimized crystal structure of LaSiAg at the PBE level of DFT.

Unit cell a=11.013 b=4.315 c=6.452 alpha=90.00 beta=104.00 gamma=90.00
Sites, in units of the cell vectors:
1 La 0.000 0.000 0.000
2 La 0.234 0.500 0.440
3 La 0.500 0.500 0.000
4 La 0.734 0.000 0.440
5 Si 0.295 0.000 0.782
6 Si 0.318 0.000 0.161
7 Si 0.795 0.500 0.782
8 Si 0.818 0.500 0.161
9 Ag 0.198 0.500 0.920
10 Ag 0.472 0.000 0.560
11 Ag 0.698 0.000 0.920
12 Ag 0.972 0.500 0.560

Magnetization   0.0 μB per formula unit
Formation energy (no corrections)   -309.7 meV per atom
DFT total energy   -4.710 eV/atom
Volume   297.5 Å³ per cell



Record 5
Computed, not measured: an optimized crystal structure of La3Si2Ag4 at the PBE level of DFT.

Unit cell a=6.112 b=6.112 c=8.991 alpha=108.31 beta=108.31 gamma=43.73
Sites, in units of the cell vectors:
1 La 0.000 0.000 0.000
2 La 0.331 0.331 0.341
3 La 0.669 0.669 0.659
4 Si 0.394 0.394 0.722
5 Si 0.606 0.606 0.278
6 Ag 0.055 0.055 0.381
7 Ag 0.287 0.287 0.938
8 Ag 0.713 0.713 0.062
9 Ag 0.945 0.945 0.619

Magnetization   0.0 μB per formula unit
Formation energy (no corrections)   -441.3 meV per atom
DFT total energy   -4.556 eV/atom
Volume   218.5 Å³ per cell



Record 6
Computed, not measured: an optimized crystal structure of LaSi2Ag2 at the PBE level of DFT.

Unit cell a=8.105 b=8.105 c=3.007 alpha=90.00 beta=90.00 gamma=90.00
Sites, in units of the cell vectors:
1 La 0.000 0.000 0.000
2 La 0.500 0.500 0.000
3 Si 0.148 0.352 0.000
4 Si 0.352 0.852 0.000
5 Si 0.648 0.148 0.000
6 Si 0.852 0.648 0.000
7 Ag 0.141 0.641 0.500
8 Ag 0.359 0.141 0.500
9 Ag 0.641 0.859 0.500
10 Ag 0.859 0.359 0.500

Magnetization   0.1 μB per formula unit
Formation energy (no corrections)   23.9 meV per atom
DFT total energy   -4.271 eV/atom
Volume   197.5 Å³ per cell



Record 7
Computed, not measured: an optimized crystal structure of LaSiAg at the PBE level of DFT.

Unit cell a=4.137 b=4.469 c=7.672 alpha=90.00 beta=90.00 gamma=90.00
Sites, in units of the cell vectors:
1 La 0.000 0.000 0.000
2 La 0.000 0.500 0.500
3 Si 0.500 0.000 0.345
4 Si 0.500 0.000 0.655
5 Ag 0.500 0.500 0.179
6 Ag 0.500 0.500 0.821

Magnetization   0.0 μB per formula unit
Formation energy (no corrections)   -527.7 meV per atom
DFT total energy   -4.928 eV/atom
Volume   141.9 Å³ per cell



Record 8
Computed, not measured: an optimized crystal structure of LaSi2Ag at the PBE level of DFT.

Unit cell a=3.154 b=3.154 c=28.590 alpha=90.00 beta=90.00 gamma=120.00
Sites, in units of the cell vectors:
1 La 0.000 0.000 0.000
2 La 0.333 0.667 0.667
3 La 0.667 0.333 0.333
4 Si 0.000 0.000 0.240
5 Si 0.000 0.000 0.760
6 Si 0.333 0.667 0.427
7 Si 0.333 0.667 0.906
8 Si 0.667 0.333 0.094
9 Si 0.667 0.333 0.573
10 Ag 0.000 0.000 0.500
11 Ag 0.333 0.667 0.167
12 Ag 0.667 0.333 0.833

Magnetization   0.3 μB per formula unit
Formation energy (no corrections)   295.0 meV per atom
DFT total energy   -4.361 eV/atom
Volume   246.3 Å³ per cell



Record 9
Computed, not measured: an optimized crystal structure of LaSi2Ag at the PBE level of DFT.

Unit cell a=8.182 b=4.029 c=5.577 alpha=90.00 beta=110.27 gamma=90.00
Sites, in units of the cell vectors:
1 La 0.000 0.000 0.000
2 La 0.500 0.500 0.000
3 Si 0.005 0.500 0.519
4 Si 0.225 0.000 0.660
5 Si 0.505 0.000 0.519
6 Si 0.725 0.500 0.660
7 Ag 0.277 0.500 0.364
8 Ag 0.777 0.000 0.364

Magnetization   0.0 μB per formula unit
Formation energy (no corrections)   -193.7 meV per atom
DFT total energy   -4.850 eV/atom
Volume   172.4 Å³ per cell



Record 10
Computed, not measured: an optimized crystal structure of La12SiAg6 at the PBE level of DFT.

Unit cell a=8.444 b=8.444 c=8.444 alpha=93.69 beta=93.69 gamma=93.69
Sites, in units of the cell vectors:
1 La 0.040 0.692 0.938
2 La 0.062 0.960 0.308
3 La 0.167 0.528 0.405
4 La 0.308 0.062 0.960
5 La 0.405 0.167 0.528
6 La 0.472 0.595 0.833
7 La 0.528 0.405 0.167
8 La 0.595 0.833 0.472
9 La 0.692 0.938 0.040
10 La 0.833 0.472 0.595
11 La 0.938 0.040 0.692
12 La 0.960 0.308 0.062
13 Si 0.500 0.500 0.500
14 Ag 0.171 0.356 0.763
15 Ag 0.237 0.829 0.644
16 Ag 0.356 0.763 0.171
17 Ag 0.644 0.237 0.829
18 Ag 0.763 0.171 0.356
19 Ag 0.829 0.644 0.237

Magnetization   0.0 μB per formula unit
Formation energy (no corrections)   -114.7 meV per atom
DFT total energy   -4.413 eV/atom
Volume   598.2 Å³ per cell